(1)
Density functional theory data (PBE) for crystalline Mg8Cd2Ag at its relaxed geometry.

The space group is C2/m (No. 12) and the conventional cell measures 16.127, 4.624 and 6.457 Å, with angles of 90.00, 99.05 and 90.00 degrees. Symmetry generates all atoms from Mg at (0.037, 0.000, 0.252), Mg at (0.089, 0.500, 0.930), Mg at (0.171, 0.500, 0.412), Mg at (0.221, 0.000, 0.136), Cd at (0.149, 0.000, 0.685) and Ag at (0.000, 0.500, 0.500).

As for the total energy: -1.660 eV per atom. The value obtained for the energy relative to the elements is -0.07 eV per atom.



(2)
Density functional theory data (PBE) for crystalline Y4Tm5Zr at its relaxed geometry.

The space group is P2/m (No. 10) and the conventional cell measures 6.050, 3.482 and 14.369 Å, with angles of 90.00, 98.18 and 90.00 degrees. Symmetry generates all atoms from Y at (0.098, 0.000, 0.308), Y at (0.394, 0.500, 0.696), Tm at (0.200, 0.500, 0.099), Tm at (0.300, 0.000, 0.901), Tm at (0.500, 0.000, 0.500) and Zr at (0.000, 0.500, 0.500).

As for the total energy: -5.619 eV per atom. As for the offset from the most stable computed form: 0.0 meV/atom. The value obtained for the energy relative to the elements is 0.06 eV per atom.